No. 1
Computed, not measured: Pm5ZnCo2 after structural relaxation at the PBE level of DFT.

Calculated values
* energy relative to the elements: -0.128 eV per atom
* VASP energy: -161.04 eV per cell
* calculated density: 7.5 g cm⁻³

Cell: 7.7902 7.7902 13.2066 Å, 90.00 90.00 90.00°
Space group I4/mcm (No. 140)
Asymmetric unit:
1 Pm 0.0000 0.0000 0.0000 x4
2 Pm 0.1639 0.3361 0.1357 x16
3 Zn 0.0000 0.0000 0.2500 x4
4 Co 0.1268 0.3732 0.5000 x8

=====

No. 2
Computed, not measured: KSnN2O after structural relaxation at the PBE level of DFT.

Calculated values
* VASP energy: -24.79 eV per cell
* calculated density: 4.2 g cm⁻³
* raw formation energy: 384.2 meV per atom

Cell: 4.3419 4.3419 4.1849 Å, 90.00 90.00 90.00°
Space group P4/mmm (No. 123)
Asymmetric unit:
1 K 0.0000 0.0000 0.0000 x1
2 Sn 0.5000 0.5000 0.5000 x1
3 N 0.0000 0.5000 0.5000 x2
4 O 0.5000 0.5000 0.0000 x1

=====

No. 3
Computed, not measured: K4Er3ZrTe8 after structural relaxation at the PBE level of DFT.

Calculated values
* VASP energy: -215.81 eV per cell
* calculated density: 5.3 g cm⁻³
* raw formation energy: -1261.1 meV per atom

Cell: 8.8096 8.8096 24.7738 Å, 90.00 90.00 120.00°
Space group R-3m (No. 166, hexagonal axes)
Asymmetric unit:
1 K 0.0000 0.0000 0.0000 x3
2 K 0.0000 0.5000 0.0000 x9
3 Er 0.0000 0.5000 0.5000 x9
4 Zr 0.0000 0.0000 0.5000 x3
5 Te 0.0000 0.0000 0.2363 x6
6 Te 0.0084 0.5042 0.2351 x18